No. 1
Rb3ZrH6: optimized geometry, PBE.

Structure (POSCAR):
```
Rb3ZrH6
1.0
0.000 4.632 4.632
4.632 0.000 4.632
4.632 4.632 0.000
H Rb Zr
6 3 1
direct
0.218 0.782 0.218 H
0.782 0.782 0.218 H
0.782 0.218 0.218 H
0.782 0.218 0.782 H
0.218 0.782 0.782 H
0.218 0.218 0.782 H
0.500 0.500 0.500 Rb
0.250 0.250 0.250 Rb
0.750 0.750 0.750 Rb
0.000 0.000 0.000 Zr
```

Computed properties:
* total magnetization: 1.00 μB per formula unit
* space group: Fm-3m (225)
* electronic total energy: -3.28 eV per atom

No. 2
YLuCuSi: optimized geometry, PBE.

Structure (POSCAR):
```
YLuCuSi
1.0
-0.465 1.830 4.477
0.515 4.775 0.738
-3.869 2.716 1.124
Si Y Cu Lu
1 1 1 1
direct
0.000 0.000 0.000 Si
0.250 0.250 0.250 Y
0.750 0.750 0.750 Cu
0.500 0.500 0.500 Lu
```

Computed properties:
* total magnetization: 0.05 μB per formula unit
* space group: F-43m (216)
* distance to the lowest polymorph of the same formula: 0.0 meV/atom

No. 3
SiBPt: optimized geometry, PBE.

Structure (POSCAR):
```
SiBPt
1.0
0.000 2.651 2.651
2.651 0.000 2.651
2.651 2.651 0.000
Si B Pt
1 1 1
direct
0.750 0.750 0.750 Si
0.000 0.000 0.000 B
0.250 0.250 0.250 Pt
```

Computed properties:
* total magnetization: 0.00 μB per formula unit
* space group: F-43m (216)
* distance to the lowest polymorph of the same formula: 0.0 meV/atom

No. 4
Li5Tm3N3: optimized geometry, PBE.

Structure (POSCAR):
```
Li5Tm3N3
1.0
6.483 0.000 0.000
-3.242 5.615 0.000
0.000 0.000 4.483
Li Tm N
5 3 3
direct
0.333 0.667 0.000 Li
0.000 0.284 0.000 Li
0.667 0.333 0.000 Li
0.716 0.716 0.000 Li
0.284 0.000 0.000 Li
0.000 0.660 0.500 Tm
0.660 0.000 0.500 Tm
0.340 0.340 0.500 Tm
0.373 0.373 0.000 N
0.627 0.000 0.000 N
0.000 0.627 0.000 N
```

Computed properties:
* total magnetization: 0.01 μB per formula unit
* space group: P-62m (189)
* electronic total energy: -4.96 eV per atom

No. 5
LuBiOs2: optimized geometry, PBE.

Structure (POSCAR):
```
LuBiOs2
1.0
0.000 3.375 3.375
3.375 0.000 3.375
3.375 3.375 0.000
Os Bi Lu
2 1 1
direct
0.750 0.750 0.750 Os
0.000 0.000 0.000 Os
0.500 0.500 0.500 Bi
0.250 0.250 0.250 Lu
```

Computed properties:
* total magnetization: 0.05 μB per formula unit
* space group: F-43m (216)
* electronic total energy: -7.13 eV per atom

No. 6
Mg4AlPt5: optimized geometry, PBE.

Structure (POSCAR):
```
Mg4AlPt5
1.0
2.966 0.000 0.000
0.000 2.966 0.000
0.000 0.000 17.749
Mg Al Pt
4 1 5
direct
0.000 0.000 0.399 Mg
0.000 0.000 0.198 Mg
0.000 0.000 0.802 Mg
0.000 0.000 0.601 Mg
0.000 0.000 0.000 Al
0.500 0.500 0.911 Pt
0.500 0.500 0.500 Pt
0.500 0.500 0.702 Pt
0.500 0.500 0.298 Pt
0.500 0.500 0.089 Pt
```

Computed properties:
* total magnetization: 0.00 μB per formula unit
* space group: P4/mmm (123)
* electronic total energy: -4.94 eV per atom

No. 7
NaTmNb: optimized geometry, PBE.

Structure (POSCAR):
```
NaTmNb
1.0
2.943 -2.963 2.926
0.896 1.292 4.850
-2.077 -2.712 3.786
Tm Na Nb
1 1 1
direct
0.000 0.000 0.000 Tm
0.250 0.250 0.250 Na
0.750 0.750 0.750 Nb
```

Computed properties:
* total magnetization: 4.29 μB per formula unit
* space group: F-43m (216)
* distance to the lowest polymorph of the same formula: 115.8 meV/atom

No. 8
SmDyCd4: optimized geometry, PBE.

Structure (POSCAR):
```
SmDyCd4
1.0
-2.784 0.418 1.898
0.728 -4.486 2.056
4.788 3.628 6.220
Dy Cd Sm
1 4 1
direct
0.000 0.000 0.000 Dy
0.503 0.500 0.836 Cd
0.503 0.000 0.330 Cd
0.497 0.000 0.670 Cd
0.497 0.500 0.164 Cd
0.000 0.500 0.500 Sm
```

Computed properties:
* total magnetization: 0.03 μB per formula unit
* space group: P2/m (10)
* energy of formation: -2.02 eV/f.u.